[1]
Material: TbGdP2Os2N2
Method: DFT, PBE-GGA
State: optimized geometry

abc: 4.024 4.024 8.214
angles: 90.00 90.00 90.00
Space group P4mm (No. 99)
Unique sites:
Tb 0.000 0.000 0.000 x1
Gd 0.500 0.500 0.257 x1
P 0.000 0.000 0.481 x1
P 0.500 0.500 0.777 x1
Os 0.000 0.500 0.629 x2
N 0.000 0.500 0.127 x2

Computed properties:
electronic total energy	-64.65	eV/cell
M_tot	0.002	μB per atom



[2]
Material: BaNpGe
Method: DFT, PBE-GGA
State: optimized geometry

abc: 7.362 7.362 7.362
angles: 90.00 90.00 90.00
Space group F-43m (No. 216)
Unique sites:
Ba 0.000 0.000 0.000 x4
Np 0.250 0.250 0.250 x4
Ge 0.250 0.250 0.750 x4

Computed properties:
excess energy over the best structure of this formula in the dataset	323	meV per atom
M_tot	1.666	μB per atom



[3]
Material: ErPuGe
Method: DFT, PBE-GGA
State: optimized geometry

abc: 6.911 6.911 6.911
angles: 90.00 90.00 90.00
Space group F-43m (No. 216)
Unique sites:
Er 0.000 0.000 0.000 x4
Pu 0.000 0.000 0.500 x4
Ge 0.250 0.250 0.250 x4

Computed properties:
excess energy over the best structure of this formula in the dataset	0	meV per atom
M_tot	2.121	μB per atom



[4]
Material: GdPPdO
Method: DFT, PBE-GGA
State: optimized geometry

abc: 3.558 7.651 5.556
angles: 90.00 90.00 90.00
Space group Pmc2_1 (No. 26)
Unique sites:
Gd 0.000 0.224 0.000 x2
P 0.000 0.408 0.500 x2
Pd 0.500 0.218 0.499 x2
O 0.500 0.075 0.991 x2

Computed properties:
excess energy over the best structure of this formula in the dataset	526	meV per atom
M_tot	0.001	μB per atom



[5]
Material: TmPOsO
Method: DFT, PBE-GGA
State: optimized geometry

abc: 3.975 3.975 7.742
angles: 90.00 90.00 90.00
Space group P4/nmm (No. 129, origin choice 2)
Unique sites:
Tm 0.250 0.250 0.131 x2
P 0.250 0.250 0.661 x2
Os 0.250 0.750 0.500 x2
O 0.250 0.750 0.000 x2

Computed properties:
excess energy over the best structure of this formula in the dataset	0	meV per atom
M_tot	0.000	μB per atom



[6]
Material: MgHgTeOs
Method: DFT, PBE-GGA
State: optimized geometry

abc: 6.762 6.762 6.762
angles: 90.00 90.00 90.00
Space group F-43m (No. 216)
Unique sites:
Mg 0.000 0.000 0.000 x4
Hg 0.250 0.250 0.750 x4
Te 0.250 0.250 0.250 x4
Os 0.000 0.000 0.500 x4

Computed properties:
excess energy over the best structure of this formula in the dataset	0	meV per atom
M_tot	0.001	μB per atom